First-principles (PBE-GGA) data for an optimized crystal structure of Nb3OsAu, as listed in the Alexandria database.

Properties
Spin magnetization (μB/cell): 0.00
ΔH_f (0 K) (eV per atom): 0.97
Crystal system: cubic
Relative energy among the computed polymorphs (meV/atom): 0.0

a = 4.8317 Å, b = 4.8317 Å, c = 4.8317 Å
α = 90.00°, β = 90.00°, γ = 90.00°
Closest atoms and distances in Å follow each position.
Positions (direct):
1 Nb 0.0000 0.0000 0.5000  2 Os 2.42
2 Au 0.5000 0.5000 0.5000  12 Nb 3.42
3 Nb 0.5000 0.0000 0.0000  2 Os 2.42
4 Nb 0.0000 0.5000 0.0000  2 Os 2.42
5 Os 0.0000 0.0000 0.0000  6 Nb 2.42